No. 1
Computed, not measured: PmMg4Cd4 after structural relaxation at the PBE level of DFT.

Geometry as POSCAR:
```
PmMg4Cd4
1.0
-4.4655 -4.4046 -2.0894
2.3224 0.5693 -6.1635
6.4709 -7.3932 1.7553
Pm Mg Cd
2 8 8
Direct
0.0000 0.0000 0.0000 Pm
0.5000 0.5000 0.5000 Pm
0.2216 0.5000 0.9215 Mg
0.7784 0.5000 0.9215 Mg
0.5000 0.7784 0.0785 Mg
0.5000 0.2216 0.0785 Mg
0.0000 0.7216 0.4215 Mg
0.0000 0.2784 0.4215 Mg
0.2784 0.0000 0.5785 Mg
0.7216 0.0000 0.5785 Mg
0.5000 0.7719 0.7848 Cd
0.5000 0.2281 0.7848 Cd
0.7719 0.5000 0.2152 Cd
0.2281 0.5000 0.2152 Cd
0.2719 0.0000 0.2848 Cd
0.7281 0.0000 0.2848 Cd
0.0000 0.2719 0.7152 Cd
0.0000 0.7281 0.7152 Cd
```

Properties
- Raw total energy: -1.7345 eV per atom
- Crystal system: tetragonal


No. 2
Computed, not measured: PmMgCd6 after structural relaxation at the PBE level of DFT.

Geometry as POSCAR:
```
PmMgCd6
1.0
-4.7702 0.8119 -0.5017
-0.8426 -1.0486 6.3140
1.1822 6.2441 -1.1355
Pm Mg Cd
1 1 6
Direct
0.5000 0.3729 0.6271 Pm
0.0000 0.1260 0.8740 Mg
0.0000 0.0551 0.3647 Cd
0.0000 0.6353 0.9449 Cd
0.0000 0.5702 0.4298 Cd
0.5000 0.4418 0.1385 Cd
0.5000 0.8615 0.5582 Cd
0.5000 0.9369 0.0631 Cd
```

Properties
- Raw total energy: -1.6576 eV per atom
- Crystal system: orthorhombic


No. 3
Computed, not measured: Pm4MgCd after structural relaxation at the PBE level of DFT.

Geometry as POSCAR:
```
Pm4MgCd
1.0
3.5899 0.0000 1.0383
2.2307 6.6894 -0.9874
-0.4503 -3.0997 8.2819
Pm Mg Cd
4 1 1
Direct
0.8308 0.5122 0.8263 Pm
0.3251 0.0195 0.3303 Pm
0.1692 0.4878 0.1737 Pm
0.6749 0.9805 0.6697 Pm
0.0000 0.0000 0.0000 Mg
0.5000 0.5000 0.5000 Cd
```

Properties
- Raw total energy: -3.7111 eV per atom
- Crystal system: monoclinic
- Energy relative to the lowest polymorph listed for this composition: 0 meV per atom


No. 4
Computed, not measured: PmMg12Cd6 after structural relaxation at the PBE level of DFT.

Geometry as POSCAR:
```
PmMg12Cd6
1.0
8.0661 -0.0202 -0.0285
-2.0191 7.8093 -0.0285
-2.0191 -2.6008 7.3636
Pm Mg Cd
1 12 6
Direct
0.0000 0.0000 0.0000 Pm
0.8876 0.1124 0.5000 Mg
0.8586 0.6087 0.6087 Mg
0.6087 0.6087 0.8586 Mg
0.3913 0.1414 0.3913 Mg
0.3913 0.3913 0.1414 Mg
0.1414 0.3913 0.3913 Mg
0.1124 0.5000 0.8876 Mg
0.5000 0.8876 0.1124 Mg
0.1124 0.8876 0.5000 Mg
0.8876 0.5000 0.1124 Mg
0.5000 0.1124 0.8876 Mg
0.6087 0.8586 0.6087 Mg
0.7133 0.2801 0.2801 Cd
0.2801 0.2801 0.7133 Cd
0.2801 0.7133 0.2801 Cd
0.7199 0.7199 0.2867 Cd
0.2867 0.7199 0.7199 Cd
0.7199 0.2867 0.7199 Cd
```

Properties
- Raw total energy: -1.5258 eV per atom
- Crystal system: trigonal


No. 5
Computed, not measured: Pm3Mg3Cd2 after structural relaxation at the PBE level of DFT.

Geometry as POSCAR:
```
Pm3Mg3Cd2
1.0
5.0752 0.0000 1.5295
2.3071 4.5205 1.5295
-0.0527 -0.0323 9.3597
Pm Mg Cd
3 3 2
Direct
0.1258 0.1258 0.6225 Pm
0.8786 0.8786 0.3643 Pm
0.3710 0.3710 0.8871 Pm
0.2510 0.2510 0.2470 Mg
0.7478 0.7478 0.7566 Mg
0.6240 0.6240 0.1280 Mg
0.9996 0.9996 0.0013 Cd
0.5023 0.5023 0.4932 Cd
```

Properties
- Raw total energy: -2.7965 eV per atom
- Crystal system: trigonal
- Energy relative to the lowest polymorph listed for this composition: 0 meV per atom


No. 6
Computed, not measured: PmMg4Cd2 after structural relaxation at the PBE level of DFT.

Geometry as POSCAR:
```
PmMg4Cd2
1.0
-1.1805 0.8242 -4.4986
-8.1933 0.1849 2.1839
0.5571 8.3492 1.3834
Pm Mg Cd
2 8 4
Direct
0.5000 0.0000 0.0000 Pm
0.0000 0.5000 0.5000 Pm
0.0000 0.0969 0.3462 Mg
0.0000 0.9031 0.6538 Mg
0.5000 0.1538 0.5969 Mg
0.5000 0.8462 0.4031 Mg
0.5000 0.4031 0.8462 Mg
0.5000 0.5969 0.1538 Mg
0.0000 0.3462 0.0969 Mg
0.0000 0.6538 0.9031 Mg
0.0000 0.2114 0.7886 Cd
0.0000 0.7886 0.2114 Cd
0.5000 0.7114 0.7114 Cd
0.5000 0.2886 0.2886 Cd
```

Properties
- Raw total energy: -1.9916 eV per atom
- Crystal system: tetragonal
- Energy relative to the lowest polymorph listed for this composition: 0 meV per atom


What is the raw total energy in the first record?
-1.7345 eV per atom


Please write out number 4 again, unchanged.
Computed, not measured: PmMg12Cd6 after structural relaxation at the PBE level of DFT.

Geometry as POSCAR:
```
PmMg12Cd6
1.0
8.0661 -0.0202 -0.0285
-2.0191 7.8093 -0.0285
-2.0191 -2.6008 7.3636
Pm Mg Cd
1 12 6
Direct
0.0000 0.0000 0.0000 Pm
0.8876 0.1124 0.5000 Mg
0.8586 0.6087 0.6087 Mg
0.6087 0.6087 0.8586 Mg
0.3913 0.1414 0.3913 Mg
0.3913 0.3913 0.1414 Mg
0.1414 0.3913 0.3913 Mg
0.1124 0.5000 0.8876 Mg
0.5000 0.8876 0.1124 Mg
0.1124 0.8876 0.5000 Mg
0.8876 0.5000 0.1124 Mg
0.5000 0.1124 0.8876 Mg
0.6087 0.8586 0.6087 Mg
0.7133 0.2801 0.2801 Cd
0.2801 0.2801 0.7133 Cd
0.2801 0.7133 0.2801 Cd
0.7199 0.7199 0.2867 Cd
0.2867 0.7199 0.7199 Cd
0.7199 0.2867 0.7199 Cd
```

Properties
- Raw total energy: -1.5258 eV per atom
- Crystal system: trigonal